# 1
# CdInHg2 | Alexandria | meta-GGA SCAN | single point on PBEsol structure
data_CdInHg2
_space_group_name_H-M_alt 'P 4/m m m'
_space_group_IT_number 123
_space_group_name_Hall '-P 4 2'
_cell_length_a 3.335
_cell_length_b 3.335
_cell_length_c 8.268
_cell_angle_alpha 90.00
_cell_angle_beta 90.00
_cell_angle_gamma 90.00
loop_
_atom_site_label
_atom_site_fract_x
_atom_site_fract_y
_atom_site_fract_z
Cd1 0.000 0.000 0.000
In1 0.000 0.000 0.500
Hg1 0.500 0.500 0.240
# Calculated total energy ... -50.01 eV per atom
# Calculated volume ... 91.97 Å³/cell


# 2
# HoZn2Cu | Alexandria | meta-GGA SCAN | single point on PBEsol structure
data_HoZn2Cu
_space_group_name_H-M_alt 'C m c m'
_space_group_IT_number 63
_space_group_name_Hall '-C 2c 2'
_cell_length_a 4.135
_cell_length_b 9.334
_cell_length_c 6.860
_cell_angle_alpha 90.00
_cell_angle_beta 90.00
_cell_angle_gamma 90.00
loop_
_atom_site_label
_atom_site_fract_x
_atom_site_fract_y
_atom_site_fract_z
Ho1 0.000 0.073 0.250
Zn1 0.000 0.363 0.058
Cu1 0.000 0.218 0.750
# Calculated total energy ... -23.20 eV per atom
# Calculated volume ... 264.75 Å³/cell


# 3
# KVOF3 | Alexandria | meta-GGA SCAN | single point on PBEsol structure
data_KVOF3
_space_group_name_H-M_alt 'C 1 2/m 1'
_space_group_IT_number 12
_cell_length_a 13.537
_cell_length_b 7.504
_cell_length_c 7.167
_cell_angle_alpha 90.00
_cell_angle_beta 104.49
_cell_angle_gamma 90.00
loop_
_space_group_symop_operation_xyz
'x,y,z'
'-x,-y,-z'
'-x,y,-z'
'x,-y,z'
'x+1/2,y+1/2,z'
'-x+1/2,-y+1/2,-z'
'-x+1/2,y+1/2,-z'
'x+1/2,-y+1/2,z'
loop_
_atom_site_label
_atom_site_fract_x
_atom_site_fract_y
_atom_site_fract_z
K1 0.109 0.000 0.264
K2 0.144 0.500 0.356
V1 0.145 0.254 0.817
O1 0.024 0.287 0.776
F1 0.141 0.000 0.882
F2 0.167 0.198 0.577
F3 0.186 0.500 0.769
F4 0.189 0.287 0.095
# Formation energy (no corrections) ... -18.3 eV/f.u.
# Calculated total energy ... -10.16 eV per atom
# Calculated volume ... 704.94 Å³/cell


# 4
# Rb2NaBiCl6 | Alexandria | meta-GGA SCAN | single point on PBEsol structure
data_Rb2NaBiCl6
_space_group_name_H-M_alt 'F m -3 m'
_space_group_IT_number 225
_space_group_name_Hall '-F 4 2 3'
_cell_length_a 10.738
_cell_length_b 10.738
_cell_length_c 10.738
_cell_angle_alpha 90.00
_cell_angle_beta 90.00
_cell_angle_gamma 90.00
loop_
_atom_site_label
_atom_site_fract_x
_atom_site_fract_y
_atom_site_fract_z
Rb1 0.250 0.250 0.250
Na1 0.000 0.000 0.000
Bi1 0.000 0.000 0.500
Cl1 0.000 0.000 0.251
# Formation energy (no corrections) ... -17.0 eV/f.u.
# Calculated total energy ... -18.92 eV per atom
# Calculated volume ... 1238.23 Å³/cell


# 5
# MgTlPb2 | Alexandria | meta-GGA SCAN | single point on PBEsol structure
data_MgTlPb2
_space_group_name_H-M_alt 'P 4/m m m'
_space_group_IT_number 123
_space_group_name_Hall '-P 4 2'
_cell_length_a 4.756
_cell_length_b 4.756
_cell_length_c 4.843
_cell_angle_alpha 90.00
_cell_angle_beta 90.00
_cell_angle_gamma 90.00
loop_
_atom_site_label
_atom_site_fract_x
_atom_site_fract_y
_atom_site_fract_z
Mg1 0.000 0.000 0.000
Tl1 0.500 0.500 0.000
Pb1 0.000 0.500 0.500
# Calculated total energy ... -57.25 eV per atom
# Calculated volume ... 109.55 Å³/cell


# 6
# RuPbSe3 | Alexandria | meta-GGA SCAN | single point on PBEsol structure
data_RuPbSe3
_space_group_name_H-M_alt 'P m -3 m'
_space_group_IT_number 221
_space_group_name_Hall '-P 4 2 3'
_cell_length_a 5.279
_cell_length_b 5.279
_cell_length_c 5.279
_cell_angle_alpha 90.00
_cell_angle_beta 90.00
_cell_angle_gamma 90.00
loop_
_atom_site_label
_atom_site_fract_x
_atom_site_fract_y
_atom_site_fract_z
Ru1 0.000 0.000 0.000
Pb1 0.500 0.500 0.500
Se1 0.000 0.500 0.500
# Formation energy (no corrections) ... 6.4 eV/f.u.
# Calculated total energy ... -32.90 eV per atom
# Calculated volume ... 147.14 Å³/cell


# 7
# LaCoCl2 | Alexandria | meta-GGA SCAN | single point on PBEsol structure
data_LaCoCl2
_space_group_name_H-M_alt 'C m m m'
_space_group_IT_number 65
_space_group_name_Hall '-C 2 2'
_cell_length_a 5.864
_cell_length_b 6.919
_cell_length_c 3.879
_cell_angle_alpha 90.00
_cell_angle_beta 90.00
_cell_angle_gamma 90.00
loop_
_atom_site_label
_atom_site_fract_x
_atom_site_fract_y
_atom_site_fract_z
La1 0.000 0.000 0.000
Co1 0.000 0.500 0.000
Cl1 0.000 0.298 0.500
# Formation energy (no corrections) ... -3.2 eV/f.u.
# Calculated total energy ... -19.90 eV per atom
# Calculated volume ... 157.37 Å³/cell
# Distance to the lowest polymorph of the same formula ... 0.316 eV/atom


# 8
# KBaMo2 | Alexandria | meta-GGA SCAN | single point on PBEsol structure
data_KBaMo2
_space_group_name_H-M_alt 'F m -3 m'
_space_group_IT_number 225
_space_group_name_Hall '-F 4 2 3'
_cell_length_a 7.689
_cell_length_b 7.689
_cell_length_c 7.689
_cell_angle_alpha 90.00
_cell_angle_beta 90.00
_cell_angle_gamma 90.00
loop_
_atom_site_label
_atom_site_fract_x
_atom_site_fract_y
_atom_site_fract_z
K1 0.000 0.000 0.000
Ba1 0.000 0.000 0.500
Mo1 0.250 0.250 0.250
# Calculated total energy ... -27.44 eV per atom
# Calculated volume ... 454.53 Å³/cell
# Distance to the lowest polymorph of the same formula ... 0.368 eV/atom


# 9
# Zr3Zn | Alexandria | meta-GGA SCAN | single point on PBEsol structure
data_Zr3Zn
_space_group_name_H-M_alt 'P m m n'
_space_group_IT_number 59
_cell_length_a 5.013
_cell_length_b 5.938
_cell_length_c 5.340
_cell_angle_alpha 90.00
_cell_angle_beta 90.00
_cell_angle_gamma 90.00
loop_
_space_group_symop_operation_xyz
'x,y,z'
'-x,-y,-z'
'-x+1/2,-y+1/2,z'
'x+1/2,y+1/2,-z'
'x+1/2,-y,-z'
'-x+1/2,y,z'
'-x,y+1/2,-z'
'x,-y+1/2,z'
loop_
_atom_site_label
_atom_site_fract_x
_atom_site_fract_y
_atom_site_fract_z
Zr1 0.250 0.001 0.157
Zr2 0.250 0.250 0.640
Zn1 0.250 0.750 0.666
# Calculated total energy ... -26.51 eV per atom
# Calculated volume ... 158.94 Å³/cell


# 10
# Re2PN | Alexandria | meta-GGA SCAN | single point on PBEsol structure
data_Re2PN
_space_group_name_H-M_alt 'I -4 2 d'
_space_group_IT_number 122
_space_group_name_Hall 'I -4 2bw'
_cell_length_a 5.048
_cell_length_b 5.048
_cell_length_c 9.158
_cell_angle_alpha 90.00
_cell_angle_beta 90.00
_cell_angle_gamma 90.00
loop_
_atom_site_label
_atom_site_fract_x
_atom_site_fract_y
_atom_site_fract_z
Re1 0.194 0.250 0.125
P1 0.000 0.000 0.500
N1 0.000 0.000 0.000
# Formation energy (no corrections) ... 1.5 eV/f.u.
# Calculated total energy ... -40.10 eV per atom
# Calculated volume ... 233.40 Å³/cell


# 11
# Li2TcBr | Alexandria | meta-GGA SCAN | single point on PBEsol structure
data_Li2TcBr
_space_group_name_H-M_alt 'P 1 m 1'
_space_group_IT_number 6
_cell_length_a 2.856
_cell_length_b 4.431
_cell_length_c 5.282
_cell_angle_alpha 90.00
_cell_angle_beta 105.14
_cell_angle_gamma 90.00
loop_
_space_group_symop_operation_xyz
'x,y,z'
'x,-y,z'
loop_
_atom_site_label
_atom_site_fract_x
_atom_site_fract_y
_atom_site_fract_z
Li1 0.000 0.000 0.000
Li2 0.342 0.500 0.707
Tc1 0.616 0.500 0.233
Br1 0.714 0.000 0.439
# Formation energy (no corrections) ... 1.0 eV/f.u.
# Calculated total energy ... -14.59 eV per atom
# Calculated volume ... 64.53 Å³/cell
# Distance to the lowest polymorph of the same formula ... 0.000 eV/atom


# 12
# ScZnBr | Alexandria | meta-GGA SCAN | single point on PBEsol structure
data_ScZnBr
_space_group_name_H-M_alt 'F -4 3 m'
_space_group_IT_number 216
_space_group_name_Hall 'F -4 2 3'
_cell_length_a 6.591
_cell_length_b 6.591
_cell_length_c 6.591
_cell_angle_alpha 90.00
_cell_angle_beta 90.00
_cell_angle_gamma 90.00
loop_
_atom_site_label
_atom_site_fract_x
_atom_site_fract_y
_atom_site_fract_z
Sc1 0.000 0.000 0.000
Zn1 0.250 0.250 0.750
Br1 0.000 0.000 0.500
# Formation energy (no corrections) ... 0.6 eV/f.u.
# Calculated total energy ... -15.53 eV per atom
# Calculated volume ... 286.26 Å³/cell
# Distance to the lowest polymorph of the same formula ... 0.528 eV/atom


What did the first record say?
# CdInHg2 | Alexandria | meta-GGA SCAN | single point on PBEsol structure
data_CdInHg2
_space_group_name_H-M_alt 'P 4/m m m'
_space_group_IT_number 123
_space_group_name_Hall '-P 4 2'
_cell_length_a 3.335
_cell_length_b 3.335
_cell_length_c 8.268
_cell_angle_alpha 90.00
_cell_angle_beta 90.00
_cell_angle_gamma 90.00
loop_
_atom_site_label
_atom_site_fract_x
_atom_site_fract_y
_atom_site_fract_z
Cd1 0.000 0.000 0.000
In1 0.000 0.000 0.500
Hg1 0.500 0.500 0.240
# Calculated total energy ... -50.01 eV per atom
# Calculated volume ... 91.97 Å³/cell


- The highest calculated total energy belongs to which entry?
  KVOF3


- Look up the calculated total energy of the tenth one.
  -40.10 eV per atom